! BeCo2HRh (PBE, relaxed); values from VASP
&SYSTEM
  ibrav = 0, nat = 5, ntyp = 4
/
ATOMIC_SPECIES
Co 58.93 Co.upf
Rh 102.91 Rh.upf
H 1.01 H.upf
Be 9.01 Be.upf
CELL_PARAMETERS angstrom
-1.111 2.300 -2.344
-0.624 -2.578 -2.233
-3.683 -0.335 1.416
ATOMIC_POSITIONS crystal
Co 0.000 0.500 0.000
Co 0.500 0.000 0.000
Rh 0.000 0.000 0.500
H 0.000 0.000 0.000
Be 0.500 0.500 0.500
! **Symmetry**: P4/mmm, No. 123
! **Magnetization**: 3.31 Bohr magnetons per cell
! **Relative energy among the computed polymorphs**: 0 meV/atom